[1]
## PuFeGeO6 (PBE+U)

Data for PuFeGeO6 after structural relaxation.

## Properties
SG: P-31c, No. 163
DOS(E_F) (states/eV/cell): 17.4

Cell lengths 5.2179, 5.2179, 8.8436 Å; angles 90.00, 90.00, 120.00 degrees
Positions (direct):
1 O 0.0307 0.3496 0.6286
2 O 0.6504 0.9693 0.8714
3 O 0.6504 0.6811 0.6286
4 O 0.3189 0.9693 0.6286
5 O 0.3496 0.3189 0.3714
6 O 0.0307 0.6811 0.8714
7 O 0.3189 0.3496 0.8714
8 O 0.6811 0.0307 0.3714
9 O 0.3496 0.0307 0.1286
10 O 0.6811 0.6504 0.1286
11 O 0.9693 0.3189 0.1286
12 O 0.9693 0.6504 0.3714
13 Ge 0.3333 0.6667 0.7500
14 Ge 0.6667 0.3333 0.2500
15 Pu 0.6667 0.3333 0.7500
16 Pu 0.3333 0.6667 0.2500
17 Fe 0.0000 0.0000 0.5000
18 Fe 0.0000 0.0000 0.0000



[2]
## Rb2FeGeO4 (PBE+U)

Data for Rb2FeGeO4 after structural relaxation.

## Properties
SG: Fddd, No. 70

Cell lengths 5.3105, 6.7335, 10.5834 Å; angles 84.32, 75.47, 66.78 degrees
Positions (direct):
1 Rb 0.5742 0.5000 0.8516
2 Rb 0.9258 0.5000 0.1484
3 Rb 0.8242 0.0000 0.3516
4 Rb 0.1758 0.0000 0.6484
5 Fe 0.7500 0.5000 0.5000
6 Fe 0.0000 0.0000 0.0000
7 O 0.5917 0.1725 0.0842
8 O 0.1583 0.3275 0.4158
9 O 0.5142 0.3275 0.5841
10 O 0.3242 0.8275 0.0842
11 O 0.2358 0.1725 0.9158
12 O 0.4258 0.6725 0.4158
13 O 0.9017 0.6725 0.5841
14 O 0.8483 0.8275 0.9158
15 Ge 0.5000 0.0000 0.0000
16 Ge 0.2500 0.5000 0.5000



[3]
## FeGeRh2O (PBE+U)

Data for FeGeRh2O after structural relaxation.

## Properties
SG: P4/mmm, No. 123
DOS(E_F) (states/eV/cell): 6.8

Cell lengths 4.4617, 4.4029, 4.4617 Å; angles 90.00, 90.00, 90.00 degrees
Positions (direct):
1 Fe 0.0000 0.0000 0.0000
2 Rh 0.0000 0.0000 0.5000
3 Rh 0.5000 0.0000 0.0000
4 O 0.5000 0.5000 0.5000
5 Ge 0.0000 0.5000 0.0000



[4]
## FeGeRuO6 (PBE+U)

Data for FeGeRuO6 after structural relaxation.

## Properties
SG: P4_2nm, No. 102
DOS(E_F) (states/eV/cell): 4.4

Cell lengths 4.5933, 4.5933, 8.8993 Å; angles 90.00, 90.00, 90.00 degrees
Positions (direct):
1 O 0.8119 0.1881 0.1711
2 O 0.8098 0.1902 0.4967
3 O 0.6881 0.6881 0.6711
4 O 0.6968 0.6968 0.3331
5 O 0.1902 0.8098 0.4967
6 O 0.3098 0.3098 0.9967
7 O 0.1968 0.8032 0.8331
8 O 0.6902 0.6902 0.9967
9 O 0.3032 0.3032 0.3331
10 O 0.1881 0.8119 0.1711
11 O 0.8032 0.1968 0.8331
12 O 0.3119 0.3119 0.6711
13 Ge 0.5000 0.5000 0.8340
14 Ge 0.0000 0.0000 0.3340
15 Ru 0.5000 0.5000 0.4993
16 Ru 0.0000 0.0000 0.9993
17 Fe 0.0000 0.0000 0.6648
18 Fe 0.5000 0.5000 0.1648



[5]
## FeGeSbO6 (PBE+U)

Data for FeGeSbO6 after structural relaxation.

## Properties
SG: P-31c, No. 163
DOS(E_F) (states/eV/cell): 0.0

Cell lengths 5.0498, 5.0498, 8.8755 Å; angles 90.00, 90.00, 120.00 degrees
Positions (direct):
1 O 0.0126 0.3512 0.6304
2 O 0.9874 0.6488 0.3696
3 O 0.0126 0.6614 0.8696
4 O 0.9874 0.3386 0.1304
5 O 0.3512 0.0126 0.1304
6 O 0.6488 0.6614 0.6304
7 O 0.3386 0.3512 0.8696
8 O 0.3512 0.3386 0.3696
9 O 0.6614 0.6488 0.1304
10 O 0.6614 0.0126 0.3696
11 O 0.3386 0.9874 0.6304
12 O 0.6488 0.9874 0.8696
13 Ge 0.6667 0.3333 0.2500
14 Ge 0.3333 0.6667 0.7500
15 Fe 0.0000 0.0000 0.0000
16 Fe 0.0000 0.0000 0.5000
17 Sb 0.3333 0.6667 0.2500
18 Sb 0.6667 0.3333 0.7500



[6]
## ScFe2GeO6 (PBE+U)

Data for ScFe2GeO6 after structural relaxation.

## Properties
SG: P2_1/c, No. 14
DOS(E_F) (states/eV/cell): 7.3

Cell lengths 5.1543, 5.3490, 7.5951 Å; angles 90.00, 89.55, 90.00 degrees
Positions (direct):
1 O 0.8334 0.8009 0.9120
2 O 0.8125 0.8316 0.5499
3 O 0.1666 0.1991 0.0880
4 O 0.1307 0.4146 0.7666
5 O 0.8693 0.5854 0.2334
6 O 0.1875 0.1684 0.4501
7 O 0.6875 0.3316 0.9501
8 O 0.6666 0.3009 0.5880
9 O 0.3125 0.6684 0.0499
10 O 0.3334 0.6991 0.4120
11 O 0.3693 0.9146 0.7334
12 O 0.6307 0.0854 0.2666
13 Fe 0.9937 0.0479 0.7311
14 Fe 0.0063 0.9521 0.2689
15 Fe 0.5063 0.5479 0.7689
16 Fe 0.4937 0.4521 0.2311
17 Sc 0.0000 0.5000 0.5000
18 Sc 0.5000 0.0000 0.0000
19 Ge 0.5000 0.0000 0.5000
20 Ge 0.0000 0.5000 0.0000



[7]
## SmFe2GeO6 (PBE+U)

Data for SmFe2GeO6 after structural relaxation.

## Properties
SG: P1, No. 1
DOS(E_F) (states/eV/cell): 0.0

Cell lengths 5.2108, 5.2137, 5.7466 Å; angles 62.03, 62.32, 59.86 degrees
Positions (direct):
1 O 0.7253 0.1538 0.7750
2 O 0.9462 0.5949 0.2243
3 O 0.5994 0.2288 0.2206
4 O 0.3487 0.7242 0.7709
5 O 0.2254 0.9489 0.2210
6 O 0.1634 0.3517 0.7647
7 Sm 0.7945 0.8048 0.6070
8 Fe 0.0036 0.0072 0.9807
9 Fe 0.5331 0.5251 0.4185
10 Ge 0.3221 0.3222 0.0325



[8]
## SmFeGe2O7 (PBE+U)

Data for SmFeGe2O7 after structural relaxation.

## Properties
SG: P2_1/c, No. 14
DOS(E_F) (states/eV/cell): 0.0

Cell lengths 6.6717, 7.2916, 13.0616 Å; angles 62.60, 90.00, 90.00 degrees
Positions (direct):
1 O 0.1228 0.5689 0.1902
2 O 0.9990 0.7417 0.5823
3 O 0.8101 0.8491 0.1882
4 O 0.6708 0.5889 0.4827
5 O 0.5492 0.2120 0.1224
6 O 0.3895 0.7832 0.2816
7 O 0.6899 0.8491 0.6882
8 O 0.5010 0.7417 0.0823
9 O 0.3101 0.1509 0.3118
10 O 0.1623 0.0128 0.0739
11 O 0.9508 0.2120 0.6224
12 O 0.4990 0.2583 0.9177
13 O 0.8772 0.4311 0.8098
14 O 0.8377 0.9872 0.9261
15 O 0.8292 0.5889 0.9827
16 O 0.0492 0.7880 0.3776
17 O 0.6105 0.2168 0.7184
18 O 0.3292 0.4111 0.5173
19 O 0.3772 0.5689 0.6902
20 O 0.1899 0.1509 0.8118
21 O 0.3377 0.0128 0.5739
22 O 0.6623 0.9872 0.4261
23 O 0.0010 0.2583 0.4177
24 O 0.1105 0.7832 0.7816
25 O 0.1708 0.4111 0.0173
26 O 0.6228 0.4311 0.3098
27 O 0.4508 0.7880 0.8776
28 O 0.8895 0.2168 0.2184
29 Fe 0.9004 0.2094 0.7688
30 Fe 0.5996 0.2094 0.2688
31 Fe 0.0996 0.7906 0.2312
32 Fe 0.4004 0.7906 0.7312
33 Sm 0.1466 0.7590 0.9752
34 Sm 0.8534 0.2410 0.0248
35 Sm 0.6466 0.2410 0.5248
36 Sm 0.3534 0.7590 0.4752
37 Ge 0.4118 0.2989 0.7764
38 Ge 0.6585 0.7809 0.9624
39 Ge 0.1585 0.2191 0.5376
40 Ge 0.5882 0.7011 0.2236
41 Ge 0.8415 0.7809 0.4624
42 Ge 0.3415 0.2191 0.0376
43 Ge 0.0882 0.2989 0.2764
44 Ge 0.9118 0.7011 0.7236



no.,total DFT energy (no corrections) (eV/cell)
1,-141.68
2,-88.39
3,-21.00
4,-119.40
5,-114.32
6,-142.21
7,-68.58
8,-308.34